The following is a DFT calculation (PBE) of Nd6ErSc after structural relaxation.

As for the symmetry: No. 123. The formation energy is 0.03 eV/atom.

abc: 5.0969 5.0969 10.1971
angles: 90.00 90.00 90.00
Atoms (fractional coordinates):
Nd 0.0000 0.0000 0.0000
Nd 0.0000 0.0000 0.5000
Nd 0.0000 0.5000 0.2458
Nd 0.0000 0.5000 0.7542
Nd 0.5000 0.0000 0.2458
Nd 0.5000 0.0000 0.7542
Er 0.5000 0.5000 0.5000
Sc 0.5000 0.5000 0.0000

The following is a DFT calculation (PBE) of GaOs2Br after structural relaxation.

The formation energy without anion corrections comes out at 1107.3 meV/atom. As for the symmetry: No. 225.

abc: 4.4292 4.4292 4.4292
angles: 60.00 60.00 60.00
Atoms (fractional coordinates):
Ga 0.0000 0.0000 0.0000
Os 0.2500 0.2500 0.2500
Os 0.7500 0.7500 0.7500
Br 0.5000 0.5000 0.5000

The following is a DFT calculation (PBE) of V6Re5Rh after structural relaxation.

As for the symmetry: No. 71. The formation energy is -0.32 eV/atom.

abc: 7.4316 7.4316 7.4316
angles: 146.38 131.67 60.16
Atoms (fractional coordinates):
V 0.0783 0.3312 0.7470
V 0.2436 0.0000 0.2436
V 0.4158 0.6688 0.7470
V 0.5842 0.3312 0.2530
V 0.7564 0.0000 0.7564
V 0.9217 0.6688 0.2530
Re 0.0000 0.5000 0.5000
Re 0.1672 0.1672 0.0000
Re 0.3357 0.8357 0.5000
Re 0.6643 0.1643 0.5000
Re 0.8328 0.8328 0.0000
Rh 0.5000 0.5000 0.0000

For each record above, in turn, the calculated Fermi-level density of states values are 11.7, 3.2, 10.3 states/eV/f.u..
For each record above, in turn, the calculated calculated total energy values are -39.29, -22.73, -128.19 eV per cell.